[1]
The following is a PBE-GGA calculation of a relaxed structure of Co8Tc, from Alexandria via LeMat-Bulk.

## Properties
The total energy comes out at -7.38 eV/atom.

Cell and atoms, written as CIF:
```
data_Co8Tc
_cell_length_a 7.508
_cell_length_b 7.508
_cell_length_c 3.553
_cell_angle_alpha 90.00
_cell_angle_beta 90.00
_cell_angle_gamma 90.00
_symmetry_space_group_name_H-M 'I 4/m m m'
_symmetry_Int_Tables_number 139
_symmetry_space_group_name_Hall '-I 4 2'
loop_
_atom_site_label
_atom_site_type_symbol
_atom_site_fract_x
_atom_site_fract_y
_atom_site_fract_z
Co1 Co 0.000 0.336 0.000
Co2 Co 0.169 0.169 0.500
Tc1 Tc 0.000 0.000 0.000
```

[2]
The following is a PBE-GGA calculation of a relaxed structure of Co3Tc, from Alexandria via LeMat-Bulk.

## Properties
The total energy comes out at -7.85 eV/atom.

Cell and atoms, written as CIF:
```
data_Co3Tc
_cell_length_a 2.561
_cell_length_b 4.087
_cell_length_c 4.446
_cell_angle_alpha 90.00
_cell_angle_beta 90.00
_cell_angle_gamma 90.00
_symmetry_space_group_name_H-M 'P m m 2'
_symmetry_Int_Tables_number 25
_symmetry_space_group_name_Hall 'P 2 -2'
loop_
_atom_site_label
_atom_site_type_symbol
_atom_site_fract_x
_atom_site_fract_y
_atom_site_fract_z
Co1 Co 0.000 0.000 0.000
Co2 Co 0.000 0.500 0.323
Co3 Co 0.500 0.000 0.481
Tc1 Tc 0.500 0.500 0.819
```

[3]
The following is a PBE-GGA calculation of a relaxed structure of CoTc3, from Alexandria via LeMat-Bulk.

## Properties
The total energy comes out at -9.44 eV/atom. The calculation puts the energy above the most stable polymorph in this dataset at 159 meV per atom.

Cell and atoms, written as CIF:
```
data_CoTc3
_cell_length_a 8.822
_cell_length_b 2.690
_cell_length_c 4.661
_cell_angle_alpha 90.00
_cell_angle_beta 99.52
_cell_angle_gamma 90.00
_symmetry_space_group_name_H-M 'C 1 2/m 1'
_symmetry_Int_Tables_number 12
_symmetry_space_group_name_Hall '-C 2y'
loop_
_atom_site_label
_atom_site_type_symbol
_atom_site_fract_x
_atom_site_fract_y
_atom_site_fract_z
Co1 Co 0.000 0.000 0.000
Tc1 Tc 0.000 0.500 0.500
Tc2 Tc 0.244 0.500 0.239
```

[4]
The following is a PBE-GGA calculation of a relaxed structure of CoTc3, from Alexandria via LeMat-Bulk.

## Properties
The total energy comes out at -9.49 eV/atom. The calculation puts the energy above the most stable polymorph in this dataset at 111 meV per atom.

Cell and atoms, written as CIF:
```
data_CoTc3
_cell_length_a 2.7110
_cell_length_b 2.7110
_cell_length_c 8.5701
_cell_angle_alpha 90.00
_cell_angle_beta 90.00
_cell_angle_gamma 120.00
_symmetry_space_group_name_H-M 'P -6 m 2'
_symmetry_Int_Tables_number 187
_symmetry_space_group_name_Hall 'P -6 2'
loop_
_atom_site_label
_atom_site_type_symbol
_atom_site_fract_x
_atom_site_fract_y
_atom_site_fract_z
Co1 Co 0.0000 0.0000 0.0000
Tc1 Tc 0.0000 0.0000 0.5000
Tc2 Tc 0.3333 0.6667 0.2394
```

[5]
The following is a PBE-GGA calculation of a relaxed structure of CoTc3, from Alexandria via LeMat-Bulk.

## Properties
The total energy comes out at -9.54 eV/atom. The calculation puts the energy above the most stable polymorph in this dataset at 66 meV per atom.

Cell and atoms, written as CIF:
```
data_CoTc3
_cell_length_a 5.389
_cell_length_b 13.011
_cell_length_c 4.635
_cell_angle_alpha 90.00
_cell_angle_beta 90.00
_cell_angle_gamma 90.00
_symmetry_space_group_name_H-M 'P m m n'
_symmetry_Int_Tables_number 59
loop_
_symmetry_equiv_pos_as_xyz
'x,y,z'
'-x,-y,-z'
'-x+1/2,-y+1/2,z'
'x+1/2,y+1/2,-z'
'x+1/2,-y,-z'
'-x+1/2,y,z'
'-x,y+1/2,-z'
'x,-y+1/2,z'
loop_
_atom_site_label
_atom_site_type_symbol
_atom_site_fract_x
_atom_site_fract_y
_atom_site_fract_z
Co1 Co 0.250 0.082 0.165
Co2 Co 0.250 0.750 0.492
Tc1 Tc 0.001 0.750 0.991
Tc2 Tc 0.003 0.086 0.668
Tc3 Tc 0.250 0.250 0.498
Tc4 Tc 0.250 0.584 0.830
```

[6]
The following is a PBE-GGA calculation of a relaxed structure of Co5Tc3, from Alexandria via LeMat-Bulk.

## Properties
The total energy comes out at -8.00 eV/atom. The calculation puts the energy above the most stable polymorph in this dataset at 273 meV per atom.

Cell and atoms, written as CIF:
```
data_Co5Tc3
_cell_length_a 11.262
_cell_length_b 7.984
_cell_length_c 4.539
_cell_angle_alpha 90.00
_cell_angle_beta 90.00
_cell_angle_gamma 90.00
_symmetry_space_group_name_H-M 'C m c m'
_symmetry_Int_Tables_number 63
_symmetry_space_group_name_Hall '-C 2c 2'
loop_
_atom_site_label
_atom_site_type_symbol
_atom_site_fract_x
_atom_site_fract_y
_atom_site_fract_z
Co1 Co 0.000 0.166 0.250
Co2 Co 0.108 0.094 0.750
Co3 Co 0.197 0.500 0.000
Tc1 Tc 0.000 0.412 0.750
Tc2 Tc 0.197 0.225 0.250
```

[7]
The following is a PBE-GGA calculation of a relaxed structure of Co4Tc3, from Alexandria via LeMat-Bulk.

## Properties
The total energy comes out at -8.33 eV/atom. The calculation puts the energy above the most stable polymorph in this dataset at 0 meV per atom.

Cell and atoms, written as CIF:
```
data_Co4Tc3
_cell_length_a 3.035
_cell_length_b 3.035
_cell_length_c 18.891
_cell_angle_alpha 90.00
_cell_angle_beta 90.00
_cell_angle_gamma 90.00
_symmetry_space_group_name_H-M 'I 4/m m m'
_symmetry_Int_Tables_number 139
_symmetry_space_group_name_Hall '-I 4 2'
loop_
_atom_site_label
_atom_site_type_symbol
_atom_site_fract_x
_atom_site_fract_y
_atom_site_fract_z
Co1 Co 0.000 0.000 0.074
Co2 Co 0.000 0.000 0.366
Tc1 Tc 0.000 0.000 0.210
Tc2 Tc 0.000 0.000 0.500
```

[8]
The following is a PBE-GGA calculation of a relaxed structure of Co2Tc3, from Alexandria via LeMat-Bulk.

## Properties
The total energy comes out at -8.95 eV/atom. The calculation puts the energy above the most stable polymorph in this dataset at 0 meV per atom.

Cell and atoms, written as CIF:
```
data_Co2Tc3
_cell_length_a 9.018
_cell_length_b 12.686
_cell_length_c 4.556
_cell_angle_alpha 90.00
_cell_angle_beta 90.00
_cell_angle_gamma 90.00
_symmetry_space_group_name_H-M 'F d d 2'
_symmetry_Int_Tables_number 43
_symmetry_space_group_name_Hall 'F 2 -2d'
loop_
_atom_site_label
_atom_site_type_symbol
_atom_site_fract_x
_atom_site_fract_y
_atom_site_fract_z
Co1 Co 0.028 0.296 0.000
Tc1 Tc 0.000 0.000 0.453
Tc2 Tc 0.048 0.395 0.474
```

[9]
The following is a PBE-GGA calculation of a relaxed structure of Co3Tc, from Alexandria via LeMat-Bulk.

## Properties
The total energy comes out at -7.87 eV/atom.

Cell and atoms, written as CIF:
```
data_Co3Tc
_cell_length_a 5.052
_cell_length_b 12.345
_cell_length_c 4.400
_cell_angle_alpha 90.00
_cell_angle_beta 90.00
_cell_angle_gamma 90.00
_symmetry_space_group_name_H-M 'P m m n'
_symmetry_Int_Tables_number 59
loop_
_symmetry_equiv_pos_as_xyz
'x,y,z'
'-x,-y,-z'
'-x+1/2,-y+1/2,z'
'x+1/2,y+1/2,-z'
'x+1/2,-y,-z'
'-x+1/2,y,z'
'-x,y+1/2,-z'
'x,-y+1/2,z'
loop_
_atom_site_label
_atom_site_type_symbol
_atom_site_fract_x
_atom_site_fract_y
_atom_site_fract_z
Co1 Co 0.001 0.083 0.167
Co2 Co 0.002 0.250 0.496
Co3 Co 0.250 0.085 0.666
Co4 Co 0.250 0.750 0.995
Tc1 Tc 0.250 0.250 0.999
Tc2 Tc 0.250 0.586 0.329
```

[10]
The following is a PBE-GGA calculation of a relaxed structure of CoTc3, from Alexandria via LeMat-Bulk.

## Properties
The total energy comes out at -9.44 eV/atom. The calculation puts the energy above the most stable polymorph in this dataset at 161 meV per atom.

Cell and atoms, written as CIF:
```
data_CoTc3
_cell_length_a 5.352
_cell_length_b 7.601
_cell_length_c 2.683
_cell_angle_alpha 90.00
_cell_angle_beta 90.00
_cell_angle_gamma 90.00
_symmetry_space_group_name_H-M 'C m m m'
_symmetry_Int_Tables_number 65
_symmetry_space_group_name_Hall '-C 2 2'
loop_
_atom_site_label
_atom_site_type_symbol
_atom_site_fract_x
_atom_site_fract_y
_atom_site_fract_z
Co1 Co 0.000 0.000 0.000
Tc1 Tc 0.000 0.500 0.000
Tc2 Tc 0.250 0.250 0.500
```

[11]
The following is a PBE-GGA calculation of a relaxed structure of CoTc3, from Alexandria via LeMat-Bulk.

## Properties
The total energy comes out at -9.27 eV/atom. The calculation puts the energy above the most stable polymorph in this dataset at 334 meV per atom.

Cell and atoms, written as CIF:
```
data_CoTc3
_cell_length_a 8.5792
_cell_length_b 8.5792
_cell_length_c 2.6132
_cell_angle_alpha 90.00
_cell_angle_beta 90.00
_cell_angle_gamma 120.00
_symmetry_space_group_name_H-M 'R -3 m'
_symmetry_Int_Tables_number 166
_symmetry_space_group_name_Hall '-R 3 2"'
loop_
_atom_site_label
_atom_site_type_symbol
_atom_site_fract_x
_atom_site_fract_y
_atom_site_fract_z
Co1 Co 0.0000 0.0000 0.0000
Tc1 Tc 0.0000 0.5000 0.0000
```

[12]
The following is a PBE-GGA calculation of a relaxed structure of CoTc3, from Alexandria via LeMat-Bulk.

## Properties
The total energy comes out at -9.45 eV/atom. The calculation puts the energy above the most stable polymorph in this dataset at 150 meV per atom.

Cell and atoms, written as CIF:
```
data_CoTc3
_cell_length_a 4.783
_cell_length_b 4.783
_cell_length_c 4.783
_cell_angle_alpha 90.00
_cell_angle_beta 90.00
_cell_angle_gamma 90.00
_symmetry_space_group_name_H-M 'P m -3 n'
_symmetry_Int_Tables_number 223
_symmetry_space_group_name_Hall '-P 4n 2 3'
loop_
_atom_site_label
_atom_site_type_symbol
_atom_site_fract_x
_atom_site_fract_y
_atom_site_fract_z
Co1 Co 0.000 0.000 0.000
Tc1 Tc 0.000 0.250 0.500
```

no.,formation energy (eV per atom)
1,0.0901
2,0.0750
3,0.1061
4,0.0585
5,0.0135
6,0.3257
7,0.1753
8,0.1144
9,0.0541
10,0.1080
11,0.2814
12,0.0966